# 1
This record from Alexandria describes an optimized crystal structure of Ti2CrAgH. The functional is PBE.

Cell lengths 4.2993, 4.2993, 3.4603 Å; angles 90.00, 90.00, 90.00 degrees
Fractional positions:
Ti (0.0000, 0.5000, 0.0000)
Ti (0.5000, 0.0000, 0.0000)
Cr (0.0000, 0.0000, 0.5000)
Ag (0.5000, 0.5000, 0.5000)
H (0.0000, 0.0000, 0.0000)

Properties
**Magnetization**: 0.00 μB per formula unit
**Volume**: 12.8 Å³ per atom
**Space-group type**: P4/mmm
**E**: -31.50 eV for the cell shown

---

# 2
This record from Alexandria describes an optimized crystal structure of Y2CrAgH. The functional is PBE.

Cell lengths 5.4043, 5.4043, 3.4393 Å; angles 90.00, 90.00, 90.00 degrees
Fractional positions:
Y (0.0000, 0.5000, 0.0000)
Y (0.5000, 0.0000, 0.0000)
Cr (0.0000, 0.0000, 0.0000)
Ag (0.5000, 0.5000, 0.5000)
H (0.0000, 0.0000, 0.5000)

Properties
**Magnetization**: 1.92 μB per formula unit
**Volume**: 20.1 Å³ per atom
**Space-group type**: P4/mmm
**E**: -26.94 eV for the cell shown

---

# 3
This record from Alexandria describes an optimized crystal structure of ZnCrAg2H. The functional is PBE.

Cell lengths 5.1731, 5.1731, 5.0549 Å; angles 90.00, 90.00, 90.00 degrees
Fractional positions:
Zn (0.0000, 0.0000, 0.0000)
Cr (0.0000, 0.0000, 0.5000)
Ag (0.0000, 0.5000, 0.5000)
Ag (0.5000, 0.0000, 0.5000)
H (0.5000, 0.5000, 0.0000)

Properties
**Magnetization**: 5.56 μB per formula unit
**Volume**: 27.1 Å³ per atom
**Space-group type**: P4/mmm
**E**: -13.13 eV for the cell shown

---

# 4
This record from Alexandria describes an optimized crystal structure of HfCr2Ag4. The functional is PBE.

Cell lengths 7.8079, 7.8079, 7.8079 Å; angles 141.90, 141.90, 54.99 degrees
Fractional positions:
Hf (0.0000, 0.0000, 0.0000)
Cr (0.3976, 0.3976, 0.0000)
Cr (0.6024, 0.6024, 0.0000)
Ag (0.0000, 0.5000, 0.5000)
Ag (0.1986, 0.1986, 0.0000)
Ag (0.5000, 0.0000, 0.5000)
Ag (0.8014, 0.8014, 0.0000)

Properties
**Magnetization**: 7.92 μB per formula unit
**Volume**: 25.7 Å³ per atom
**Formation energy from the elements**: 1186 meV/atom
**Space-group type**: I4/mmm
**E**: -32.30 eV for the cell shown

---

# 5
This record from Alexandria describes an optimized crystal structure of HfCrAg3. The functional is PBE.

Cell lengths 4.8239, 4.8239, 4.8239 Å; angles 90.00, 90.00, 90.00 degrees
Fractional positions:
Hf (0.0000, 0.0000, 0.0000)
Cr (0.5000, 0.5000, 0.5000)
Ag (0.0000, 0.5000, 0.5000)
Ag (0.5000, 0.0000, 0.5000)
Ag (0.5000, 0.5000, 0.0000)

Properties
**Magnetization**: 2.80 μB per formula unit
**Volume**: 22.4 Å³ per atom
**Formation energy from the elements**: 1139 meV/atom
**Space-group type**: Pm-3m
**E**: -22.44 eV for the cell shown

---

# 6
This record from Alexandria describes an optimized crystal structure of Hf2Cr2Ag. The functional is PBE.

Cell lengths 6.7343, 6.7343, 3.8494 Å; angles 90.00, 90.00, 90.00 degrees
Fractional positions:
Hf (0.1803, 0.3197, 0.0000)
Hf (0.3197, 0.8197, 0.0000)
Hf (0.6803, 0.1803, 0.0000)
Hf (0.8197, 0.6803, 0.0000)
Cr (0.1055, 0.6055, 0.5000)
Cr (0.3945, 0.1055, 0.5000)
Cr (0.6055, 0.8945, 0.5000)
Cr (0.8945, 0.3945, 0.5000)
Ag (0.0000, 0.0000, 0.5000)
Ag (0.5000, 0.5000, 0.5000)

Properties
**Magnetization**: 0.00 μB per formula unit
**Volume**: 17.5 Å³ per atom
**Formation energy from the elements**: 187 meV/atom
**Space-group type**: P4/mbm
**E**: -82.14 eV for the cell shown